(1)
! Sc2BeHRh GGA-PBE optimized geometry; values from VASP
! Size of the total moment: 0.000 μB per atom
! E: -29.64 eV per cell
! Crystal system: tetragonal
! D(E_F): 2.06 states/eV per cell
&SYSTEM
  ibrav = 0, nat = 5, ntyp = 4
/
ATOMIC_SPECIES
Sc 44.96 Sc.upf
Be 9.01 Be.upf
H 1.01 H.upf
Rh 102.91 Rh.upf
ATOMIC_POSITIONS angstrom
Sc 0.0000 2.2617 0.0000
Sc 2.2617 0.0000 0.0000
Be 0.0000 0.0000 1.6360
H 0.0000 0.0000 0.0000
Rh 2.2617 2.2617 1.6360
CELL_PARAMETERS angstrom
4.5234 0.0000 0.0000
0.0000 4.5234 0.0000
0.0000 0.0000 3.2720



(2)
! Ta2BeHRh GGA-PBE optimized geometry; values from VASP
! Size of the total moment: 0.000 μB per atom
! Crystal system: tetragonal
! D(E_F): 2.77 states/eV per cell
! E above lowest polymorph: 18 meV per atom
&SYSTEM
  ibrav = 0, nat = 5, ntyp = 4
/
ATOMIC_SPECIES
Ta 180.95 Ta.upf
Be 9.01 Be.upf
H 1.01 H.upf
Rh 102.91 Rh.upf
ATOMIC_POSITIONS angstrom
Ta 0.0000 2.0207 0.0000
Ta 2.0207 0.0000 0.0000
Be 0.0000 0.0000 1.9304
H 2.0207 2.0207 0.0000
Rh 2.0207 2.0207 1.9304
CELL_PARAMETERS angstrom
4.0415 0.0000 0.0000
0.0000 4.0415 0.0000
0.0000 0.0000 3.8609